A.
A plane-wave DFT calculation with PBE was carried out for NiHg2BiPb after structural relaxation.

POSCAR file:
```
NiHg2BiPb
1.0
-1.346 1.066 4.766
-2.830 -4.199 0.140
4.077 -2.689 1.754
Pb Ni Bi Hg
1 1 1 2
direct
0.500 0.500 0.500 Pb
0.000 0.000 0.000 Ni
0.000 0.000 0.500 Bi
0.000 0.500 0.000 Hg
0.500 0.000 0.000 Hg
```

Output
**Crystal system**: tetragonal
**Density of states at the Fermi level**: 0.557 states/eV/atom
**Space-group type**: P4/mmm, No. 123

=====

B.
A plane-wave DFT calculation with PBE was carried out for NiHg2BiPb after structural relaxation.

POSCAR file:
```
NiHg2BiPb
1.0
-5.474 -1.623 -1.071
-0.326 -1.841 4.454
-1.904 5.119 1.976
Pb Ni Bi Hg
1 1 1 2
direct
0.500 0.500 0.500 Pb
0.000 0.500 0.000 Ni
0.000 0.000 0.000 Bi
0.000 0.000 0.500 Hg
0.500 0.000 0.000 Hg
```

Output
**Crystal system**: tetragonal
**Density of states at the Fermi level**: 0.825 states/eV/atom
**Space-group type**: P4/mmm, No. 123

=====

Which structure wins on stability? A wins.